Compound: ScTcPO
Source: OQMD via LeMat-Bulk
Functional: GGA-PBE
Structure: relaxed

relative energy among the computed polymorphs = 0.0 kJ per mole of atoms
raw total energy = -8.509 eV per atom

CIF file:
```
data_ScTcPO
_symmetry_space_group_name_H-M 'P 4/n m m'
_symmetry_Int_Tables_number 129
_cell_length_a 3.826
_cell_length_b 3.826
_cell_length_c 7.841
_cell_angle_alpha 90.00
_cell_angle_beta 90.00
_cell_angle_gamma 90.00
loop_
_symmetry_equiv_pos_as_xyz
'x,y,z'
'-x,-y,-z'
'-y+1/2,x,z'
'y+1/2,-x,-z'
'-x+1/2,-y+1/2,z'
'x+1/2,y+1/2,-z'
'y,-x+1/2,z'
'-y,x+1/2,-z'
'x+1/2,-y,-z'
'-x+1/2,y,z'
'-y,-x,-z'
'y,x,z'
'-x,y+1/2,-z'
'x,-y+1/2,z'
'y+1/2,x+1/2,-z'
'-y+1/2,-x+1/2,z'
loop_
_atom_site_label
_atom_site_type_symbol
_atom_site_fract_x
_atom_site_fract_y
_atom_site_fract_z
Sc1 Sc 0.250 0.250 0.119
Tc1 Tc 0.250 0.750 0.500
P1 P 0.250 0.250 0.681
O1 O 0.250 0.750 0.000
```